A plane-wave DFT calculation with GGA-PBE was carried out for crystalline Ac4Au2O at its relaxed geometry.

```
Ac4Au2O
1.0
-2.584 2.584 8.076
2.584 -2.584 8.076
2.584 2.584 -8.076
Ac Au O
4 2 1
direct
0.000 0.500 0.500
0.186 0.186 0.000
0.500 0.000 0.500
0.814 0.814 0.000
0.374 0.374 0.000
0.626 0.626 0.000
0.000 0.000 0.000
```

Summary:
M_tot = 0.00 μB/cell
energy relative to the lowest polymorph listed for this composition = 0.069 eV/atom
theoretical density = 10.14 g/cm3
crystal system = tetragonal
raw total energy = -5.16 eV/atom
raw formation energy = -785 kJ/mol of formula units